(1)
First-principles (PBE) data for ZrCu2Ru after structural relaxation, as listed in Alexandria. Values from VASP.

Values from the calculation:
density of states at the Fermi level = 0.210 states/eV per atom
formation energy = -0.214 eV per atom
space group = P4/mmm, No. 123
polymorph energy (0 for the lowest one) = 0.03 eV/f.u.

Quantum ESPRESSO input file:
```
&SYSTEM
  ibrav = 0, nat = 4, ntyp = 3
/
ATOMIC_SPECIES
Ru 101.07 Ru.upf
Cu 63.55 Cu.upf
Zr 91.22 Zr.upf
CELL_PARAMETERS angstrom
-1.4494 3.3383 0.9407
-1.2187 0.4643 -3.5255
-3.6367 -1.8640 1.0117
ATOMIC_POSITIONS crystal
Ru 0.5000 0.0000 0.5000
Cu 0.5000 0.5000 0.0000
Cu 0.0000 0.0000 0.0000
Zr 0.0000 0.5000 0.5000
```

---

(2)
First-principles (PBE) data for Be2CI after structural relaxation, as listed in Alexandria. Values from VASP.

Values from the calculation:
density of states at the Fermi level = 0.578 states/eV per atom
raw formation energy = 2.021 eV/atom
space group = Fm-3m, No. 225
polymorph energy (0 for the lowest one) = 6.10 eV/f.u.

Quantum ESPRESSO input file:
```
&SYSTEM
  ibrav = 0, nat = 4, ntyp = 3
/
ATOMIC_SPECIES
Be 9.01 Be.upf
C 12.01 C.upf
I 126.90 I.upf
CELL_PARAMETERS angstrom
-3.4812 -2.3481 0.5715
-2.4171 0.5942 3.4298
-3.8333 1.7644 -0.3891
ATOMIC_POSITIONS crystal
Be 0.7500 0.7500 0.7500
C 0.0000 0.0000 0.0000
I 0.5000 0.5000 0.5000
Be 0.2500 0.2500 0.2500
```

---

(3)
First-principles (PBE) data for CeHo2Si3Pt4 after structural relaxation, as listed in Alexandria. Values from VASP.

Values from the calculation:
density of states at the Fermi level = 1.013 states/eV per atom
raw formation energy = -0.980 eV/atom
space group = P-4m2, No. 115

Quantum ESPRESSO input file:
```
&SYSTEM
  ibrav = 0, nat = 10, ntyp = 4
/
ATOMIC_SPECIES
Ho 164.93 Ho.upf
Ce 140.12 Ce.upf
Pt 195.08 Pt.upf
Si 28.09 Si.upf
CELL_PARAMETERS angstrom
4.2211 0.0000 0.0000
0.0000 4.2211 0.0000
0.0000 0.0000 10.9529
ATOMIC_POSITIONS crystal
Ho 0.0000 0.5000 0.7801
Ce 0.5000 0.5000 0.5000
Ho 0.5000 0.0000 0.2199
Pt 0.5000 0.5000 0.0000
Si 0.0000 0.0000 0.5000
Pt 0.0000 0.5000 0.3336
Pt 0.0000 0.0000 0.0000
Pt 0.5000 0.0000 0.6664
Si 0.0000 0.5000 0.1189
Si 0.5000 0.0000 0.8811
```

---

(4)
First-principles (PBE) data for PmZn2Ge after structural relaxation, as listed in Alexandria. Values from VASP.

Values from the calculation:
density of states at the Fermi level = 0.324 states/eV per atom
formation energy = -0.469 eV per atom
space group = Cmcm, No. 63
polymorph energy (0 for the lowest one) = 0.00 eV/f.u.

Quantum ESPRESSO input file:
```
&SYSTEM
  ibrav = 0, nat = 16, ntyp = 3
/
ATOMIC_SPECIES
Ge 72.64 Ge.upf
Pm 145.00 Pm.upf
Zn 65.41 Zn.upf
CELL_PARAMETERS angstrom
4.1672 0.0000 -0.9815
0.0000 8.9437 0.0000
-0.1794 0.0000 8.5754
ATOMIC_POSITIONS crystal
Ge 0.8540 0.5258 0.7079
Pm 0.5000 0.5000 0.0000
Zn 0.6868 0.6109 0.3735
Zn 0.6868 0.8891 0.3735
Zn 0.3132 0.3891 0.6265
Pm 0.5000 0.0000 0.0000
Zn 0.9472 0.7500 0.8944
Pm 0.7003 0.2500 0.4006
Zn 0.0528 0.2500 0.1056
Pm 0.2997 0.7500 0.5994
Ge 0.8540 0.9742 0.7079
Zn 0.3132 0.1109 0.6265
Zn 0.0942 0.7500 0.1884
Ge 0.1460 0.4742 0.2921
Ge 0.1460 0.0258 0.2921
Zn 0.9058 0.2500 0.8116
```

---

(5)
First-principles (PBE) data for Sn3GePd12 after structural relaxation, as listed in Alexandria. Values from VASP.

Values from the calculation:
density of states at the Fermi level = 0.312 states/eV per atom
formation energy = -0.472 eV per atom
space group = P4/mmm, No. 123

Quantum ESPRESSO input file:
```
&SYSTEM
  ibrav = 0, nat = 16, ntyp = 3
/
ATOMIC_SPECIES
Pd 106.42 Pd.upf
Sn 118.71 Sn.upf
Ge 72.64 Ge.upf
CELL_PARAMETERS angstrom
4.0161 0.0000 0.0000
0.0000 4.0161 0.0000
0.0000 0.0000 16.0241
ATOMIC_POSITIONS crystal
Pd 0.0000 0.5000 0.1191
Pd 0.0000 0.5000 0.8809
Pd 0.5000 0.0000 0.3732
Sn 0.0000 0.0000 0.7534
Pd 0.5000 0.5000 0.0000
Pd 0.5000 0.0000 0.6268
Ge 0.0000 0.0000 0.0000
Pd 0.5000 0.5000 0.5000
Sn 0.0000 0.0000 0.5000
Pd 0.5000 0.0000 0.1191
Pd 0.5000 0.0000 0.8809
Pd 0.0000 0.5000 0.6268
Pd 0.5000 0.5000 0.7539
Sn 0.0000 0.0000 0.2466
Pd 0.5000 0.5000 0.2461
Pd 0.0000 0.5000 0.3732
```

---

(6)
First-principles (PBE) data for La5Pb3I after structural relaxation, as listed in Alexandria. Values from VASP.

Values from the calculation:
density of states at the Fermi level = 0.780 states/eV per atom
raw formation energy = -0.758 eV/atom
space group = P6_3/mcm, No. 193

Quantum ESPRESSO input file:
```
&SYSTEM
  ibrav = 0, nat = 18, ntyp = 3
/
ATOMIC_SPECIES
I 126.90 I.upf
Pb 207.20 Pb.upf
La 138.91 La.upf
CELL_PARAMETERS angstrom
9.8721 0.0000 0.0000
-4.9360 8.5495 0.0000
0.0000 0.0000 7.1546
ATOMIC_POSITIONS crystal
I 0.0000 0.0000 0.5000
Pb 0.0000 0.3842 0.7500
La 0.2756 0.0000 0.2500
Pb 0.0000 0.6158 0.2500
La 0.6667 0.3333 0.0000
Pb 0.3842 0.3842 0.2500
La 0.3333 0.6667 0.5000
La 0.2756 0.2756 0.7500
La 0.3333 0.6667 0.0000
Pb 0.3842 0.0000 0.7500
La 0.7244 0.7244 0.2500
La 0.7244 0.0000 0.7500
Pb 0.6158 0.6158 0.7500
La 0.6667 0.3333 0.5000
La 0.0000 0.7244 0.7500
Pb 0.6158 0.0000 0.2500
I 0.0000 0.0000 0.0000
La 0.0000 0.2756 0.2500
```

---

(7)
First-principles (PBE) data for Pm4Pr3Dy8 after structural relaxation, as listed in Alexandria. Values from VASP.

Values from the calculation:
density of states at the Fermi level = 2.031 states/eV per atom
formation energy = 0.359 eV per atom
space group = C2/m, No. 12

Quantum ESPRESSO input file:
```
&SYSTEM
  ibrav = 0, nat = 15, ntyp = 3
/
ATOMIC_SPECIES
Pr 140.91 Pr.upf
Dy 162.50 Dy.upf
Pm 145.00 Pm.upf
CELL_PARAMETERS angstrom
6.8179 -0.0913 -0.1312
-3.2732 8.6810 1.1700
-3.2732 -1.9163 8.5473
ATOMIC_POSITIONS crystal
Pr 0.5000 0.0000 0.5000
Dy 0.5315 0.2676 0.2676
Pm 0.0000 0.5000 0.0000
Dy 0.0000 0.6405 0.3595
Dy 0.9929 0.7340 0.7340
Pm 0.0000 0.0000 0.5000
Dy 0.0071 0.2660 0.2660
Dy 0.4685 0.7324 0.7324
Pr 0.5000 0.5000 0.0000
Dy 0.0000 0.3595 0.6405
Pm 0.5000 0.0000 0.0000
Dy 0.5000 0.7439 0.2561
Dy 0.5000 0.2561 0.7439
Pm 0.0000 0.0000 0.0000
Pr 0.5000 0.5000 0.5000
```

---

(8)
First-principles (PBE) data for MgBPd3 after structural relaxation, as listed in Alexandria. Values from VASP.

Values from the calculation:
density of states at the Fermi level = 0.273 states/eV per atom
formation energy = -0.349 eV per atom
space group = Fd-3m, No. 227
polymorph energy (0 for the lowest one) = 0.68 eV/f.u.

Quantum ESPRESSO input file:
```
&SYSTEM
  ibrav = 0, nat = 20, ntyp = 3
/
ATOMIC_SPECIES
Pd 106.42 Pd.upf
Mg 24.30 Mg.upf
B 10.81 B.upf
CELL_PARAMETERS angstrom
-4.0344 -4.8177 4.5393
-7.1887 -2.1012 -2.0001
-1.4091 -7.2564 -2.3348
ATOMIC_POSITIONS crystal
Pd 0.2007 0.2007 0.7993
Mg 0.6250 0.1250 0.6250
B 0.1250 0.1250 0.6250
Pd 0.4507 0.0493 0.4507
Pd 0.2007 0.7993 0.7993
Pd 0.0493 0.4507 0.0493
Mg 0.1250 0.6250 0.6250
B 0.1250 0.1250 0.1250
Pd 0.4507 0.0493 0.0493
B 0.6250 0.1250 0.1250
Pd 0.7993 0.2007 0.2007
Pd 0.7993 0.2007 0.7993
Pd 0.0493 0.0493 0.4507
Mg 0.6250 0.6250 0.6250
Pd 0.0493 0.4507 0.4507
Pd 0.4507 0.4507 0.0493
Mg 0.6250 0.6250 0.1250
Pd 0.2007 0.7993 0.2007
Pd 0.7993 0.7993 0.2007
B 0.1250 0.6250 0.1250
```

---

(9)
First-principles (PBE) data for CePuH3 after structural relaxation, as listed in Alexandria. Values from VASP.

Values from the calculation:
density of states at the Fermi level = 1.518 states/eV per atom
space group = P2_1/m, No. 11
polymorph energy (0 for the lowest one) = 0.00 eV/f.u.

Quantum ESPRESSO input file:
```
&SYSTEM
  ibrav = 0, nat = 20, ntyp = 3
/
ATOMIC_SPECIES
H 1.01 H.upf
Pu 244.00 Pu.upf
Ce 140.12 Ce.upf
CELL_PARAMETERS angstrom
-0.2453 0.3099 -5.5775
-2.4989 -6.4604 -0.2491
-5.9500 4.4028 0.5063
ATOMIC_POSITIONS crystal
H 0.0001 0.0001 0.7500
Pu 0.2500 0.8764 0.4692
Pu 0.2500 0.8764 0.9692
Pu 0.7500 0.1236 0.0308
H 0.9999 0.9999 0.2500
H 0.5053 0.6232 0.9057
H 0.4947 0.3768 0.5943
H 0.4947 0.3768 0.0943
Ce 0.2500 0.3500 0.3376
H 0.0053 0.3768 0.5943
Ce 0.2500 0.3500 0.8376
Ce 0.7500 0.6500 0.6624
H 0.5001 0.9999 0.7500
Ce 0.7500 0.6500 0.1624
H 0.0053 0.3768 0.0943
H 0.9947 0.6232 0.4057
H 0.9947 0.6232 0.9057
Pu 0.7500 0.1236 0.5308
H 0.4999 0.0001 0.2500
H 0.5053 0.6232 0.4057
```

---

(10)
First-principles (PBE) data for MgGa2HgIr after structural relaxation, as listed in Alexandria. Values from VASP.

Values from the calculation:
density of states at the Fermi level = 0.289 states/eV per atom
formation energy = -0.236 eV per atom
space group = P4/mmm, No. 123

Quantum ESPRESSO input file:
```
&SYSTEM
  ibrav = 0, nat = 5, ntyp = 4
/
ATOMIC_SPECIES
Ga 69.72 Ga.upf
Ir 192.22 Ir.upf
Hg 200.59 Hg.upf
Mg 24.30 Mg.upf
CELL_PARAMETERS angstrom
-4.0083 -0.5480 2.5886
2.4680 -2.4688 3.2988
1.0222 4.3744 2.5089
ATOMIC_POSITIONS crystal
Ga 0.5000 0.0000 0.0000
Ir 0.0000 0.0000 0.0000
Hg 0.5000 0.5000 0.5000
Mg 0.0000 0.0000 0.5000
Ga 0.0000 0.5000 0.0000
```

---

(11)
First-principles (PBE) data for CrRuAu3 after structural relaxation, as listed in Alexandria. Values from VASP.

Values from the calculation:
density of states at the Fermi level = 1.715 states/eV per atom
formation energy = 1.265 eV per atom
space group = Pm-3m, No. 221
polymorph energy (0 for the lowest one) = 0.00 eV/f.u.

Quantum ESPRESSO input file:
```
&SYSTEM
  ibrav = 0, nat = 5, ntyp = 3
/
ATOMIC_SPECIES
Au 196.97 Au.upf
Ru 101.07 Ru.upf
Cr 52.00 Cr.upf
CELL_PARAMETERS angstrom
4.9842 0.0000 0.0000
0.0000 4.9842 0.0000
0.0000 0.0000 4.9842
ATOMIC_POSITIONS crystal
Au 0.5000 0.0000 0.0000
Au 0.0000 0.0000 0.5000
Au 0.0000 0.5000 0.0000
Ru 0.0000 0.0000 0.0000
Cr 0.5000 0.5000 0.5000
```

---

(12)
First-principles (PBE) data for CaPmTm2 after structural relaxation, as listed in Alexandria. Values from VASP.

Values from the calculation:
density of states at the Fermi level = 1.773 states/eV per atom
formation energy = 0.177 eV per atom
space group = Fm-3m, No. 225
polymorph energy (0 for the lowest one) = 0.41 eV/f.u.

Quantum ESPRESSO input file:
```
&SYSTEM
  ibrav = 0, nat = 4, ntyp = 3
/
ATOMIC_SPECIES
Tm 168.93 Tm.upf
Pm 145.00 Pm.upf
Ca 40.08 Ca.upf
CELL_PARAMETERS angstrom
-0.9487 2.7284 -4.9483
-5.3448 1.3910 -1.5256
-1.6502 5.4869 0.0245
ATOMIC_POSITIONS crystal
Tm 0.2500 0.2500 0.2500
Pm 0.0000 0.0000 0.0000
Tm 0.7500 0.7500 0.7500
Ca 0.5000 0.5000 0.5000
```

---

(13)
First-principles (PBE) data for AgHgC2O6 after structural relaxation, as listed in Alexandria. Values from VASP.

Values from the calculation:
density of states at the Fermi level = 0.287 states/eV per atom
raw formation energy = -0.846 eV/atom
space group = C2/c, No. 15

Quantum ESPRESSO input file:
```
&SYSTEM
  ibrav = 0, nat = 20, ntyp = 4
/
ATOMIC_SPECIES
O 16.00 O.upf
C 12.01 C.upf
Hg 200.59 Hg.upf
Ag 107.87 Ag.upf
CELL_PARAMETERS angstrom
6.7254 -0.3352 0.2128
-1.1561 6.6337 0.2128
-1.4279 -1.6149 5.7673
ATOMIC_POSITIONS crystal
O 0.5494 0.7052 0.1118
C 0.3940 0.1089 0.7534
Hg 0.1222 0.8778 0.2500
O 0.2948 0.4506 0.3882
O 0.5147 0.9844 0.7544
Hg 0.8778 0.1222 0.7500
O 0.0156 0.4853 0.7456
Ag 0.3859 0.6141 0.7500
Ag 0.6141 0.3859 0.2500
O 0.2083 0.0538 0.6177
O 0.9462 0.7917 0.8823
O 0.0538 0.2083 0.1177
O 0.7052 0.5494 0.6118
C 0.6060 0.8911 0.2466
O 0.4853 0.0156 0.2456
C 0.8911 0.6060 0.7466
O 0.4506 0.2948 0.8882
C 0.1089 0.3940 0.2534
O 0.7917 0.9462 0.3823
O 0.9844 0.5147 0.2544
```

---

(14)
First-principles (PBE) data for K3ZrSb after structural relaxation, as listed in Alexandria. Values from VASP.

Values from the calculation:
density of states at the Fermi level = 0.168 states/eV per atom
raw formation energy = 0.811 eV/atom
space group = Pm-3m, No. 221
polymorph energy (0 for the lowest one) = 0.00 eV/f.u.

Quantum ESPRESSO input file:
```
&SYSTEM
  ibrav = 0, nat = 5, ntyp = 3
/
ATOMIC_SPECIES
K 39.10 K.upf
Sb 121.76 Sb.upf
Zr 91.22 Zr.upf
CELL_PARAMETERS angstrom
6.6627 0.0000 0.0000
0.0000 6.6627 0.0000
0.0000 0.0000 6.6627
ATOMIC_POSITIONS crystal
K 0.0000 0.0000 0.5000
K 0.5000 0.0000 0.0000
Sb 0.0000 0.0000 0.0000
K 0.0000 0.5000 0.0000
Zr 0.5000 0.5000 0.5000
```

---

(15)
First-principles (PBE) data for MgZnSe2 after structural relaxation, as listed in Alexandria. Values from VASP.

Values from the calculation:
density of states at the Fermi level = 0.000 states/eV per atom
raw formation energy = -0.654 eV/atom
space group = I4/mcm, No. 140

Quantum ESPRESSO input file:
```
&SYSTEM
  ibrav = 0, nat = 8, ntyp = 3
/
ATOMIC_SPECIES
Mg 24.30 Mg.upf
Zn 65.41 Zn.upf
Se 78.96 Se.upf
CELL_PARAMETERS angstrom
-6.5452 -1.8667 1.9034
1.1272 -6.5102 -2.5087
-1.5965 -5.1185 2.6107
ATOMIC_POSITIONS crystal
Mg 0.7500 0.7500 0.5000
Mg 0.2500 0.2500 0.5000
Zn 0.2500 0.7500 0.5000
Se 0.3106 0.1894 0.0000
Se 0.8106 0.3106 0.0000
Zn 0.7500 0.2500 0.5000
Se 0.6894 0.8106 0.0000
Se 0.1894 0.6894 0.0000
```

---

(16)
First-principles (PBE) data for HfZrH2 after structural relaxation, as listed in Alexandria. Values from VASP.

Values from the calculation:
density of states at the Fermi level = 0.581 states/eV per atom
space group = Fm-3m, No. 225
polymorph energy (0 for the lowest one) = 2.54 eV/f.u.

Quantum ESPRESSO input file:
```
&SYSTEM
  ibrav = 0, nat = 4, ntyp = 3
/
ATOMIC_SPECIES
H 1.01 H.upf
Zr 91.22 Zr.upf
Hf 178.49 Hf.upf
CELL_PARAMETERS angstrom
0.0000 2.9078 2.9078
2.9078 0.0000 2.9078
2.9078 2.9078 0.0000
ATOMIC_POSITIONS crystal
H 0.7500 0.7500 0.7500
Zr 0.0000 0.0000 0.0000
Hf 0.5000 0.5000 0.5000
H 0.2500 0.2500 0.2500
```